8
Lattice="-3.3360 -3.1313 -0.3209 0.3975 0.1525 -5.6208 5.4305 -6.2199 4.2393" Properties=species:S:1:pos:R:3 comment="LiLa2Co | Alexandria | PBE-GGA | optimized geometry" formation_enthalpy_0k_ev_per_atom=-0.04 space_group="No. 11" magmom_total_mub_per_fu=0.000 pbc="T T T"
Li -0.4572 -1.1894 -1.8454
Co 0.3654 -5.6734 0.5804
Co 2.5773 -4.3133 -2.9080
Li -2.0309 -2.5772 -4.7218
La 0.8814 -2.9118 1.0464
La -0.2204 -4.7874 -1.9761
La 3.1628 -5.1990 -0.3513
La 1.6636 -7.2272 2.2471

***

5
Lattice="-4.2214 0.8090 2.2448 -0.1707 -4.6526 1.3556 2.3800 1.1011 4.0788" Properties=species:S:1:pos:R:3 comment="ZrTa3Pd | Alexandria | PBE-GGA | optimized geometry" formation_enthalpy_0k_ev_per_atom=1.19 space_group="No. 221" relative_energy_mev_per_atom=0 magmom_total_mub_per_fu=0.000 pbc="T T T"
Ta -2.1107 0.4045 1.1224
Zr -1.0060 -1.3712 3.8396
Ta -0.0854 -2.3263 0.6778
Pd 0.0000 0.0000 0.0000
Ta 1.1900 0.5506 2.0394

***

9
Lattice="5.3867 0.0000 -0.0001 2.6934 4.6650 0.0001 0.0001 -0.0002 5.0057" Properties=species:S:1:pos:R:3 comment="NaSrBeF6 | Alexandria | PBE-GGA | optimized geometry" space_group="No. 149" magmom_total_mub_per_fu=1.021 raw_formation_energy_mev_per_atom=-2859 pbc="T T T"
F 3.3780 2.8307 1.4895
F 3.4558 0.3241 1.4895
Sr 5.3866 -0.0001 5.0056
F 1.2461 1.5100 1.4895
Be 2.6933 1.5549 2.5029
F 4.1405 1.5100 3.5162
Na 5.3867 3.1099 2.5028
F 1.9308 0.3241 3.5162
F 2.0086 2.8307 3.5162

***

Q: Number 1 is which compound?
A: LiLa2Co

***

Please write out number 1 again, unchanged.
8
Lattice="-3.3360 -3.1313 -0.3209 0.3975 0.1525 -5.6208 5.4305 -6.2199 4.2393" Properties=species:S:1:pos:R:3 comment="LiLa2Co | Alexandria | PBE-GGA | optimized geometry" formation_enthalpy_0k_ev_per_atom=-0.04 space_group="No. 11" magmom_total_mub_per_fu=0.000 pbc="T T T"
Li -0.4572 -1.1894 -1.8454
Co 0.3654 -5.6734 0.5804
Co 2.5773 -4.3133 -2.9080
Li -2.0309 -2.5772 -4.7218
La 0.8814 -2.9118 1.0464
La -0.2204 -4.7874 -1.9761
La 3.1628 -5.1990 -0.3513
La 1.6636 -7.2272 2.2471